[1]
Material: AcLa
Method: DFT, PBE-GGA
State: optimized geometry

abc: 3.840 5.974 7.414
angles: 90.00 105.11 90.00
Sites, in units of the cell vectors:
1 Ac 0.179 0.250 0.358
2 Ac 0.821 0.750 0.642
3 La 0.441 0.250 0.883
4 La 0.559 0.750 0.117

Results
Energy of formation   26 meV/atom
Excess energy over the best structure of this formula in the dataset   0.001 eV per atom
Symmetry   P2_1/m, No. 11
D(E_F)   1.546 states/eV/atom

[2]
Material: K2CdF
Method: DFT, PBE-GGA
State: optimized geometry

abc: 3.446 3.446 8.926
angles: 90.00 90.00 90.00
Sites, in units of the cell vectors:
1 K 0.000 0.000 0.180
2 K 0.000 0.000 0.820
3 Cd 0.500 0.500 0.500
4 F 0.500 0.500 0.000

Results
Excess energy over the best structure of this formula in the dataset   0.040 eV per atom
Symmetry   P4/mmm, No. 123
D(E_F)   0.310 states/eV/atom

[3]
Material: Ce4GaAu3
Method: DFT, PBE-GGA
State: optimized geometry

abc: 3.857 4.645 11.532
angles: 90.00 90.00 90.00
Sites, in units of the cell vectors:
1 Ce 0.000 0.000 0.000
2 Ce 0.000 0.500 0.287
3 Ce 0.500 0.000 0.496
4 Ce 0.500 0.500 0.783
5 Ga 0.500 0.000 0.220
6 Au 0.000 0.000 0.725
7 Au 0.000 0.500 0.560
8 Au 0.500 0.500 0.066

Results
Energy of formation   -571 meV/atom
Symmetry   Pmm2, No. 25
D(E_F)   2.709 states/eV/atom

[4]
Material: PuAl2Ni
Method: DFT, PBE-GGA
State: optimized geometry

abc: 10.011 10.011 10.011
angles: 16.21 16.21 16.21
Sites, in units of the cell vectors:
1 Pu 0.000 0.000 0.000
2 Al 0.103 0.103 0.103
3 Al 0.897 0.897 0.897
4 Ni 0.500 0.500 0.500

Results
Energy of formation   42 meV/atom
Symmetry   R-3m, No. 166
D(E_F)   1.590 states/eV/atom

[5]
Material: POs2Br
Method: DFT, PBE-GGA
State: optimized geometry

abc: 7.024 7.024 7.024
angles: 155.30 151.66 37.94
Sites, in units of the cell vectors:
1 P 0.000 0.000 0.000
2 Os 0.435 0.435 0.000
3 Os 0.609 0.109 0.500
4 Br 0.260 0.760 0.500

Results
Excess energy over the best structure of this formula in the dataset   0.198 eV per atom
Symmetry   Imm2, No. 44
D(E_F)   0.810 states/eV/atom

[6]
Material: ZrTaMo2
Method: DFT, PBE-GGA
State: optimized geometry

abc: 9.192 9.192 9.192
angles: 19.23 19.23 19.23
Sites, in units of the cell vectors:
1 Zr 0.000 0.000 0.000
2 Ta 0.759 0.759 0.759
3 Mo 0.245 0.245 0.245
4 Mo 0.507 0.507 0.507

Results
Energy of formation   244 meV/atom
Excess energy over the best structure of this formula in the dataset   0.318 eV per atom
Symmetry   R3m, No. 160
D(E_F)   1.142 states/eV/atom

[7]
Material: Hg2PS2F4
Method: DFT, PBE-GGA
State: optimized geometry

abc: 6.541 6.541 6.358
angles: 96.62 96.62 44.71
Sites, in units of the cell vectors:
1 Hg 0.162 0.162 0.314
2 Hg 0.838 0.838 0.686
3 P 0.000 0.000 0.000
4 S 0.326 0.326 0.606
5 S 0.674 0.674 0.394
6 F 0.165 0.704 0.119
7 F 0.296 0.835 0.881
8 F 0.704 0.165 0.119
9 F 0.835 0.296 0.881

Results
DFT total energy   -3.443 eV/atom
Symmetry   C2/m, No. 12
D(E_F)   0.311 states/eV/atom

[8]
Material: SiBSb2Te
Method: DFT, PBE-GGA
State: optimized geometry

abc: 4.837 4.837 4.817
angles: 90.00 90.00 90.00
Sites, in units of the cell vectors:
1 Si 0.000 0.000 0.000
2 B 0.500 0.500 0.500
3 Sb 0.000 0.500 0.500
4 Sb 0.500 0.000 0.500
5 Te 0.500 0.500 0.000

Results
Excess energy over the best structure of this formula in the dataset   0.000 eV per atom
Symmetry   P4/mmm, No. 123
D(E_F)   0.906 states/eV/atom